No. 1
A plane-wave DFT calculation with GGA-PBE was carried out for an optimized crystal structure of SrIn2PN4.

The structure in extended XYZ format:
```
8
Lattice="-2.686 -1.927 -4.570 -4.042 -2.140 3.301 1.508 5.178 0.400" Properties=species:S:1:pos:R:3 pbc="T T T"
N -2.595 1.640 -0.403
N -0.196 3.090 0.050
Sr -0.002 0.003 0.000
N -4.064 -1.296 0.709
N -3.581 -1.220 -2.094
P -1.856 3.144 -0.235
In -2.952 0.507 1.533
In -2.274 0.613 -2.403
```

- Symmetry: Fmm2 (42)
- E_form (uncorrected): -2.21 eV per formula unit
- VASP energy: -6.011 eV/atom
- Fermi-level density of states: 2.73 states/eV/f.u.

No. 2
A plane-wave DFT calculation with GGA-PBE was carried out for an optimized crystal structure of Cs2AlAgS.

The structure in extended XYZ format:
```
5
Lattice="-5.880 -2.084 -1.503 -0.424 -2.914 5.701 -2.003 4.207 2.002" Properties=species:S:1:pos:R:3 pbc="T T T"
Al -1.001 2.103 1.001
Cs -0.212 -1.457 2.851
S -4.153 -0.396 3.100
Cs -2.940 -1.042 -0.751
Ag 0.000 0.000 0.000
```

- Symmetry: P4/mmm (123)
- E_form (uncorrected): 0.37 eV per formula unit
- VASP energy: -2.412 eV/atom
- Fermi-level density of states: 2.74 states/eV/f.u.

No. 3
A plane-wave DFT calculation with GGA-PBE was carried out for an optimized crystal structure of CeThTlHg.

The structure in extended XYZ format:
```
4
Lattice="-0.713 1.908 2.829 -0.135 -2.904 1.925 9.009 0.752 1.764" Properties=species:S:1:pos:R:3 pbc="T T T"
Ce 3.277 0.274 0.642
Th 7.661 0.640 1.501
Tl 0.568 -0.415 2.571
Hg 5.014 -0.044 3.442
```

- Symmetry: P4mm (99)
- VASP energy: -4.233 eV/atom
- DFT formation energy: -0.228 eV/atom
- Fermi-level density of states: 8.78 states/eV/f.u.

No. 4
A plane-wave DFT calculation with GGA-PBE was carried out for an optimized crystal structure of TaMo5.

The structure in extended XYZ format:
```
6
Lattice="3.180 0.000 0.000 0.000 4.515 0.000 0.000 -2.258 6.761" Properties=species:S:1:pos:R:3 pbc="T T T"
Ta 0.000 0.000 0.000
Mo 1.590 2.258 0.000
Mo 0.000 2.258 2.259
Mo 1.590 0.000 2.289
Mo 0.000 0.000 4.502
Mo 1.590 2.258 4.473
```

- Symmetry: Cmmm (65)
- VASP energy: -11.097 eV/atom
- DFT formation energy: -0.096 eV/atom
- Fermi-level density of states: 3.40 states/eV/f.u.

No. 5
A plane-wave DFT calculation with GGA-PBE was carried out for an optimized crystal structure of Yb2CdSb2.

The structure in extended XYZ format:
```
10
Lattice="8.987 0.042 0.000 -7.780 4.500 0.000 0.000 0.000 7.071" Properties=species:S:1:pos:R:3 pbc="T T T"
Sb 3.640 1.463 0.148
Sb 7.825 0.351 7.009
Yb -2.678 3.143 0.196
Yb 3.886 1.398 3.732
Sb -2.433 3.078 3.684
Yb 0.297 2.352 5.086
Yb 0.910 2.189 1.550
Cd -6.083 4.049 6.354
Cd 7.291 0.493 2.818
Sb -6.617 4.191 3.473
```

- Symmetry: Cmc2_1 (36)
- E_form (uncorrected): -3.88 eV per formula unit
- VASP energy: -3.219 eV/atom
- Fermi-level density of states: 30.80 states/eV/f.u.

No. 6
A plane-wave DFT calculation with GGA-PBE was carried out for an optimized crystal structure of SbPdPt4.

The structure in extended XYZ format:
```
12
Lattice="-1.113 0.198 5.395 -0.376 -5.494 0.113 7.352 -0.471 1.534" Properties=species:S:1:pos:R:3 pbc="T T T"
Pt 6.333 -3.072 5.615
Sb 1.556 -4.238 0.468
Pt 2.469 -5.581 4.904
Sb 5.420 -1.727 1.179
Pt 3.204 -2.933 2.193
Pd 4.676 -4.375 3.933
Pt 2.660 -2.834 4.849
Pt -0.829 0.147 4.025
Pt -0.469 -2.696 1.426
Pt 6.693 -5.914 3.016
Pd 1.188 -1.392 3.109
Pt 3.395 -0.187 2.137
```

- Symmetry: C2/m (12)
- E_form (uncorrected): -0.14 eV per formula unit
- VASP energy: -5.603 eV/atom
- Fermi-level density of states: 6.10 states/eV/f.u.